--- 1 ---
Material: EuSnBi2
Method: DFT, PBE-GGA
State: optimized geometry

Computed properties:
Space group ... Fm-3m
Calculated volume ... 127.3 Å³/f.u.
D(E_F) ... 2.86 states/eV/cell

Cell: 5.647 5.647 5.647 Å, 60.00 60.00 60.00°
Atoms (fractional coordinates):
Eu1 0.000 0.000 0.000
Sn1 0.500 0.500 0.500
Bi1 0.250 0.250 0.250
Bi2 0.750 0.750 0.750

***

--- 2 ---
Material: EuSnBi2
Method: DFT, PBE-GGA
State: optimized geometry

Computed properties:
Space group ... P4/mmm
Calculated volume ... 124.7 Å³/f.u.
D(E_F) ... 5.69 states/eV/cell

Cell: 4.333 4.333 6.640 Å, 90.00 90.00 90.00°
Atoms (fractional coordinates):
Eu1 0.000 0.000 0.000
Sn1 0.000 0.000 0.500
Bi1 0.500 0.500 0.251
Bi2 0.500 0.500 0.749

***

Least stable = 1

***

--- 1 ---
Material: EuSnBi2
Method: DFT, PBE-GGA
State: optimized geometry

Computed properties:
Space group ... R-3m
Calculated volume ... 133.5 Å³/f.u.
D(E_F) ... 2.94 states/eV/cell

Cell: 12.700 12.700 12.700 Å, 15.87 15.87 15.87°
Atoms (fractional coordinates):
Eu1 0.000 0.000 0.000
Sn1 0.500 0.500 0.500
Bi1 0.088 0.088 0.088
Bi2 0.912 0.912 0.912

***

--- 2 ---
Material: EuSnBi2
Method: DFT, PBE-GGA
State: optimized geometry

Computed properties:
Space group ... P4/mmm
Calculated volume ... 121.5 Å³/f.u.
D(E_F) ... 2.99 states/eV/cell

Cell: 4.956 4.956 4.946 Å, 90.00 90.00 90.00°
Atoms (fractional coordinates):
Eu1 0.000 0.000 0.000
Sn1 0.500 0.500 0.000
Bi1 0.000 0.500 0.500
Bi2 0.500 0.000 0.500

***

Least stable = 1

***

--- 1 ---
Material: SrEuBi2
Method: DFT, PBE-GGA
State: optimized geometry

Computed properties:
Space group ... Fm-3m
Calculated volume ... 138.5 Å³/f.u.
D(E_F) ... 9.67 states/eV/cell

Cell: 5.807 5.807 5.807 Å, 60.00 60.00 60.00°
Atoms (fractional coordinates):
Sr1 0.000 0.000 0.000
Eu1 0.500 0.500 0.500
Bi1 0.250 0.250 0.250
Bi2 0.750 0.750 0.750

***

--- 2 ---
Material: SrEuBi2
Method: DFT, PBE-GGA
State: optimized geometry

Computed properties:
Space group ... P4/mmm
Calculated volume ... 136.5 Å³/f.u.
D(E_F) ... 6.95 states/eV/cell

Cell: 3.896 3.896 8.994 Å, 90.00 90.00 90.00°
Atoms (fractional coordinates):
Sr1 0.000 0.000 0.000
Eu1 0.000 0.000 0.500
Bi1 0.500 0.500 0.256
Bi2 0.500 0.500 0.744

***

Least stable = 1